Run 1
An optimized crystal structure of K4RbTl. Source: Alexandria via LeMat-Bulk, functional PBE.

The calculation puts the density of states at the Fermi level at 5.99 states/eV/cell.

Unit cell a=8.157 b=8.157 c=8.157 alpha=60.00 beta=60.00 gamma=60.00
Atoms (fractional coordinates):
K  0.376  0.376  0.376
K  0.376  0.376  0.871
K  0.376  0.871  0.376
K  0.871  0.376  0.376
Rb  0.000  0.000  0.000
Tl  0.750  0.750  0.750

***

Run 2
An optimized crystal structure of K4RbTl. Source: Alexandria via LeMat-Bulk, functional PBE.

The calculation puts the density of states at the Fermi level at 8.74 states/eV/cell.

Unit cell a=12.001 b=12.001 c=7.512 alpha=108.23 beta=108.23 gamma=49.14
Atoms (fractional coordinates):
K  0.121  0.655  0.387
K  0.207  0.793  0.000
K  0.343  0.343  0.842
K  0.345  0.879  0.613
K  0.655  0.121  0.387
K  0.657  0.657  0.158
K  0.793  0.207  0.000
K  0.879  0.345  0.613
Rb  0.207  0.207  0.207
Rb  0.793  0.793  0.793
Tl  0.500  0.500  0.293
Tl  0.500  0.500  0.707

***

Which of them is least stable? Easy: run 1.

***

Run 1
An optimized crystal structure of K3RbTl. Source: Alexandria via LeMat-Bulk, functional PBE.

The calculation puts the density of states at the Fermi level at 13.37 states/eV/cell.

Unit cell a=11.432 b=11.432 c=9.389 alpha=94.13 beta=94.13 gamma=95.03
Atoms (fractional coordinates):
K  0.033  0.641  0.401
K  0.107  0.662  0.911
K  0.272  0.309  0.910
K  0.309  0.272  0.410
K  0.338  0.893  0.589
K  0.359  0.967  0.099
K  0.641  0.033  0.901
K  0.662  0.107  0.411
K  0.691  0.728  0.590
K  0.728  0.691  0.090
K  0.893  0.338  0.089
K  0.967  0.359  0.599
Rb  0.000  0.000  0.250
Rb  0.000  0.000  0.750
Rb  0.406  0.594  0.250
Rb  0.594  0.406  0.750
Tl  0.292  0.550  0.638
Tl  0.450  0.708  0.862
Tl  0.550  0.292  0.138
Tl  0.708  0.450  0.362

***

Run 2
An optimized crystal structure of K3RbTl. Source: Alexandria via LeMat-Bulk, functional PBE.

The calculation puts the density of states at the Fermi level at 3.83 states/eV/cell.

Unit cell a=6.990 b=6.990 c=6.990 alpha=90.00 beta=90.00 gamma=90.00
Atoms (fractional coordinates):
K  0.000  0.000  0.500
K  0.000  0.500  0.000
K  0.500  0.000  0.000
Rb  0.500  0.500  0.500
Tl  0.000  0.000  0.000

***

Which of them is least stable? Easy: run 2.